1.
DFT (PBE) results for an optimized crystal structure of Li8Mg6Rh.

abc: 5.329 5.329 12.348
angles: 77.54 77.54 60.00
Fractional positions:
1 Mg 0.382 0.740 0.817
2 Mg 0.939 0.618 0.183
3 Mg 0.618 0.260 0.183
4 Mg 0.260 0.939 0.183
5 Mg 0.740 0.061 0.817
6 Mg 0.061 0.382 0.817
7 Li 0.797 0.468 0.604
8 Li 0.333 0.333 0.000
9 Li 0.869 0.203 0.396
10 Li 0.131 0.797 0.604
11 Li 0.203 0.532 0.396
12 Li 0.468 0.131 0.604
13 Li 0.667 0.667 0.000
14 Li 0.532 0.869 0.396
15 Rh 0.000 0.000 0.000

Calculated values
spin magnetization = 0.00 μB/f.u.
D(E_F) = 6.28 states/eV/f.u.
formation energy from the elements = -0.06 eV per atom
SG = R-3, No. 148
crystal system = trigonal

***

2.
DFT (PBE) results for an optimized crystal structure of Pm4Tl2Zn.

abc: 3.684 8.548 6.990
angles: 108.64 90.00 90.00
Fractional positions:
1 Pm 0.000 0.556 0.322
2 Pm 0.000 0.587 0.821
3 Pm 0.500 0.244 0.448
4 Pm 0.500 0.899 0.695
5 Tl 0.500 0.296 0.947
6 Tl 0.500 0.846 0.196
7 Zn 0.000 0.072 0.072

Calculated values
energy above the lowest structure with this stoichiometry = 100 meV/atom
spin magnetization = 0.00 μB/f.u.
D(E_F) = 7.03 states/eV/f.u.
formation energy from the elements = -0.12 eV per atom
SG = P2/m, No. 10
crystal system = monoclinic